Here is crystalline Ba3ZrGe at its relaxed geometry from Alexandria via LeMat-Bulk. Energies are from GGA-PBE.

The total moment is 1.049 Bohr magnetons per cell. As for the space-group type: Pm-3m (221). The distance to the lowest polymorph of the same formula is 0.00 eV per formula unit. The final energy comes out at -0.235 Ry/atom. The calculation puts the volume at 51.18 Å³/atom.

a = 6.349 Å, b = 6.349 Å, c = 6.349 Å
α = 90.00°, β = 90.00°, γ = 90.00°
Fractional positions:
Ba: 0.000 0.000 0.500
Ba: 0.000 0.500 0.000
Ba: 0.500 0.000 0.000
Zr: 0.500 0.500 0.500
Ge: 0.000 0.000 0.000